Record 1
# K2MgP2 PBE-GGA optimized geometry
# ρ	1.9	g cm⁻³
# V	29.1	Å³/atom
# polymorph energy (0 for the lowest one)	400	meV/atom
# VASP energy	-2.838	eV per atom
# ΔE_f	0.08	eV/atom
# total magnetization	0.000	μB per atom
data_K2MgP2
_symmetry_space_group_name_H-M 'I 4/m m m'
_symmetry_Int_Tables_number 139
_symmetry_space_group_name_Hall '-I 4 2'
_cell_length_a 3.5121
_cell_length_b 3.5121
_cell_length_c 23.5620
_cell_angle_alpha 90.00
_cell_angle_beta 90.00
_cell_angle_gamma 90.00
loop_
_atom_site_label
_atom_site_type_symbol
_atom_site_fract_x
_atom_site_fract_y
_atom_site_fract_z
K1 K 0.0000 0.0000 0.1332
Mg1 Mg 0.0000 0.0000 0.5000
P1 P 0.0000 0.5000 0.2500


Record 2
# KMg2P PBE-GGA optimized geometry
# ρ	1.6	g cm⁻³
# V	30.0	Å³/atom
# VASP energy	-2.502	eV per atom
# ΔE_f	-0.08	eV/atom
# total magnetization	0.000	μB per atom
data_KMg2P
_symmetry_space_group_name_H-M 'C 1 2/m 1'
_symmetry_Int_Tables_number 12
_cell_length_a 12.5785
_cell_length_b 3.4472
_cell_length_c 5.8965
_cell_angle_alpha 90.00
_cell_angle_beta 110.10
_cell_angle_gamma 90.00
loop_
_symmetry_equiv_pos_as_xyz
'x,y,z'
'-x,-y,-z'
'-x,y,-z'
'x,-y,z'
'x+1/2,y+1/2,z'
'-x+1/2,-y+1/2,-z'
'-x+1/2,y+1/2,-z'
'x+1/2,-y+1/2,z'
loop_
_atom_site_label
_atom_site_type_symbol
_atom_site_fract_x
_atom_site_fract_y
_atom_site_fract_z
K1 K 0.0000 0.0000 0.0000
Mg1 Mg 0.1639 0.0000 0.5916
P1 P 0.0000 0.5000 0.5000


Record 3
# KMg2P PBE-GGA optimized geometry
# ρ	1.4	g cm⁻³
# V	34.0	Å³/atom
# VASP energy	-2.604	eV per atom
# ΔE_f	-0.18	eV/atom
# total magnetization	0.000	μB per atom
data_KMg2P
_symmetry_space_group_name_H-M 'P 1 2/m 1'
_symmetry_Int_Tables_number 10
_cell_length_a 6.0344
_cell_length_b 4.0514
_cell_length_c 6.0426
_cell_angle_alpha 90.00
_cell_angle_beta 112.87
_cell_angle_gamma 90.00
loop_
_symmetry_equiv_pos_as_xyz
'x,y,z'
'-x,-y,-z'
'-x,y,-z'
'x,-y,z'
loop_
_atom_site_label
_atom_site_type_symbol
_atom_site_fract_x
_atom_site_fract_y
_atom_site_fract_z
K1 K 0.0000 0.0000 0.0000
Mg1 Mg 0.4481 0.5000 0.7341
P1 P 0.5000 0.0000 0.5000


Record 4
# K2MgP PBE-GGA optimized geometry
# ρ	1.9	g cm⁻³
# V	29.2	Å³/atom
# polymorph energy (0 for the lowest one)	441	meV/atom
# VASP energy	-2.215	eV per atom
# ΔE_f	0.09	eV/atom
# total magnetization	0.000	μB per atom
data_K2MgP
_symmetry_space_group_name_H-M 'F -4 3 m'
_symmetry_Int_Tables_number 216
_symmetry_space_group_name_Hall 'F -4 2 3'
_cell_length_a 7.7594
_cell_length_b 7.7594
_cell_length_c 7.7594
_cell_angle_alpha 90.00
_cell_angle_beta 90.00
_cell_angle_gamma 90.00
loop_
_atom_site_label
_atom_site_type_symbol
_atom_site_fract_x
_atom_site_fract_y
_atom_site_fract_z
K1 K 0.0000 0.0000 0.0000
K2 K 0.2500 0.2500 0.2500
Mg1 Mg 0.2500 0.2500 0.7500
P1 P 0.0000 0.0000 0.5000


Record 5
# K2MgP PBE-GGA optimized geometry
# ρ	1.9	g cm⁻³
# V	29.4	Å³/atom
# polymorph energy (0 for the lowest one)	479	meV/atom
# VASP energy	-2.176	eV per atom
# ΔE_f	0.12	eV/atom
# total magnetization	0.000	μB per atom
data_K2MgP
_symmetry_space_group_name_H-M 'I 4/m m m'
_symmetry_Int_Tables_number 139
_symmetry_space_group_name_Hall '-I 4 2'
_cell_length_a 4.9031
_cell_length_b 4.9031
_cell_length_c 9.7796
_cell_angle_alpha 90.00
_cell_angle_beta 90.00
_cell_angle_gamma 90.00
loop_
_atom_site_label
_atom_site_type_symbol
_atom_site_fract_x
_atom_site_fract_y
_atom_site_fract_z
K1 K 0.0000 0.5000 0.2500
Mg1 Mg 0.0000 0.0000 0.0000
P1 P 0.0000 0.0000 0.5000


Record 6
# K2MgP PBE-GGA optimized geometry
# ρ	1.8	g cm⁻³
# V	31.5	Å³/atom
# polymorph energy (0 for the lowest one)	526	meV/atom
# VASP energy	-2.129	eV per atom
# ΔE_f	0.17	eV/atom
# total magnetization	0.000	μB per atom
data_K2MgP
_symmetry_space_group_name_H-M 'P 1 2/m 1'
_symmetry_Int_Tables_number 10
_cell_length_a 3.2376
_cell_length_b 4.7897
_cell_length_c 8.1244
_cell_angle_alpha 90.00
_cell_angle_beta 90.24
_cell_angle_gamma 90.00
loop_
_symmetry_equiv_pos_as_xyz
'x,y,z'
'-x,-y,-z'
'-x,y,-z'
'x,-y,z'
loop_
_atom_site_label
_atom_site_type_symbol
_atom_site_fract_x
_atom_site_fract_y
_atom_site_fract_z
K1 K 0.0017 0.0000 0.2006
Mg1 Mg 0.5000 0.5000 0.5000
P1 P 0.5000 0.5000 0.0000


Record 7
# K2MgP PBE-GGA optimized geometry
# ρ	1.5	g cm⁻³
# V	36.3	Å³/atom
# polymorph energy (0 for the lowest one)	159	meV/atom
# VASP energy	-2.496	eV per atom
# ΔE_f	-0.20	eV/atom
# total magnetization	0.196	μB per atom
data_K2MgP
_symmetry_space_group_name_H-M 'P 1 m 1'
_symmetry_Int_Tables_number 6
_cell_length_a 5.3497
_cell_length_b 4.3879
_cell_length_c 6.7368
_cell_angle_alpha 90.00
_cell_angle_beta 113.30
_cell_angle_gamma 90.00
loop_
_symmetry_equiv_pos_as_xyz
'x,y,z'
'x,-y,z'
loop_
_atom_site_label
_atom_site_type_symbol
_atom_site_fract_x
_atom_site_fract_y
_atom_site_fract_z
K1 K 0.0000 0.0000 0.0000
K2 K 0.3001 0.5000 0.6005
Mg1 Mg 0.6734 0.0000 0.3481
P1 P 0.5796 0.5000 0.1607


Record 8
# K2MgP PBE-GGA optimized geometry
# ρ	1.4	g cm⁻³
# V	38.4	Å³/atom
# polymorph energy (0 for the lowest one)	0	meV/atom
# VASP energy	-2.655	eV per atom
# ΔE_f	-0.36	eV/atom
# total magnetization	0.000	μB per atom
data_K2MgP
_symmetry_space_group_name_H-M 'C 1 m 1'
_symmetry_Int_Tables_number 8
_cell_length_a 7.5832
_cell_length_b 4.3781
_cell_length_c 9.5650
_cell_angle_alpha 90.00
_cell_angle_beta 104.46
_cell_angle_gamma 90.00
loop_
_symmetry_equiv_pos_as_xyz
'x,y,z'
'x,-y,z'
'x+1/2,y+1/2,z'
'x+1/2,-y+1/2,z'
loop_
_atom_site_label
_atom_site_type_symbol
_atom_site_fract_x
_atom_site_fract_y
_atom_site_fract_z
K1 K 0.0000 0.0000 0.0000
K2 K 0.1757 0.0000 0.5590
Mg1 Mg 0.4227 0.0000 0.2800
P1 P 0.2559 0.5000 0.2801


Record 9
# KMg2P PBE-GGA optimized geometry
# ρ	1.6	g cm⁻³
# V	30.4	Å³/atom
# VASP energy	-2.611	eV per atom
# ΔE_f	-0.19	eV/atom
# total magnetization	0.000	μB per atom
data_KMg2P
_symmetry_space_group_name_H-M 'R 3 m'
_symmetry_Int_Tables_number 160
_symmetry_space_group_name_Hall 'R 3 -2"'
_cell_length_a 4.2880
_cell_length_b 4.2880
_cell_length_c 22.9377
_cell_angle_alpha 90.00
_cell_angle_beta 90.00
_cell_angle_gamma 120.00
loop_
_atom_site_label
_atom_site_type_symbol
_atom_site_fract_x
_atom_site_fract_y
_atom_site_fract_z
K1 K 0.0000 0.0000 0.0000
Mg1 Mg 0.0000 0.0000 0.2055
Mg2 Mg 0.0000 0.0000 0.4533
P1 P 0.0000 0.0000 0.7758


Record 10
# K3MgP PBE-GGA optimized geometry
# ρ	1.1	g cm⁻³
# V	50.6	Å³/atom
# polymorph energy (0 for the lowest one)	0	meV/atom
# VASP energy	-1.956	eV per atom
# ΔE_f	0.10	eV/atom
# total magnetization	0.000	μB per atom
data_K3MgP
_symmetry_space_group_name_H-M 'P m -3 m'
_symmetry_Int_Tables_number 221
_symmetry_space_group_name_Hall '-P 4 2 3'
_cell_length_a 6.3263
_cell_length_b 6.3263
_cell_length_c 6.3263
_cell_angle_alpha 90.00
_cell_angle_beta 90.00
_cell_angle_gamma 90.00
loop_
_atom_site_label
_atom_site_type_symbol
_atom_site_fract_x
_atom_site_fract_y
_atom_site_fract_z
K1 K 0.0000 0.0000 0.5000
Mg1 Mg 0.5000 0.5000 0.5000
P1 P 0.0000 0.0000 0.0000


Record 11
# KMg2P PBE-GGA optimized geometry
# ρ	1.9	g cm⁻³
# V	25.3	Å³/atom
# VASP energy	-2.046	eV per atom
# ΔE_f	0.38	eV/atom
# total magnetization	0.000	μB per atom
data_KMg2P
_symmetry_space_group_name_H-M 'C m m m'
_symmetry_Int_Tables_number 65
_symmetry_space_group_name_Hall '-C 2 2'
_cell_length_a 6.1800
_cell_length_b 11.0855
_cell_length_c 2.9545
_cell_angle_alpha 90.00
_cell_angle_beta 90.00
_cell_angle_gamma 90.00
loop_
_atom_site_label
_atom_site_type_symbol
_atom_site_fract_x
_atom_site_fract_y
_atom_site_fract_z
K1 K 0.0000 0.0000 0.0000
Mg1 Mg 0.2500 0.2500 0.5000
P1 P 0.0000 0.5000 0.0000


Record 12
# KMg2P PBE-GGA optimized geometry
# ρ	2.0	g cm⁻³
# V	24.2	Å³/atom
# VASP energy	-2.277	eV per atom
# ΔE_f	0.15	eV/atom
# total magnetization	0.000	μB per atom
data_KMg2P
_symmetry_space_group_name_H-M 'I 4/m m m'
_symmetry_Int_Tables_number 139
_symmetry_space_group_name_Hall '-I 4 2'
_cell_length_a 4.6118
_cell_length_b 4.6118
_cell_length_c 9.1029
_cell_angle_alpha 90.00
_cell_angle_beta 90.00
_cell_angle_gamma 90.00
loop_
_atom_site_label
_atom_site_type_symbol
_atom_site_fract_x
_atom_site_fract_y
_atom_site_fract_z
K1 K 0.0000 0.0000 0.0000
Mg1 Mg 0.0000 0.5000 0.2500
P1 P 0.0000 0.0000 0.5000


Record 13
# K2MgP PBE-GGA optimized geometry
# ρ	1.6	g cm⁻³
# V	34.6	Å³/atom
# polymorph energy (0 for the lowest one)	173	meV/atom
# VASP energy	-2.482	eV per atom
# ΔE_f	-0.18	eV/atom
# total magnetization	0.163	μB per atom
data_K2MgP
_symmetry_space_group_name_H-M 'I m m 2'
_symmetry_Int_Tables_number 44
_cell_length_a 4.1976
_cell_length_b 5.8205
_cell_length_c 11.3423
_cell_angle_alpha 90.00
_cell_angle_beta 90.00
_cell_angle_gamma 90.00
loop_
_symmetry_equiv_pos_as_xyz
'x,y,z'
'-x,-y,z'
'-x,y,z'
'x,-y,z'
'x+1/2,y+1/2,z+1/2'
'-x+1/2,-y+1/2,z+1/2'
'-x+1/2,y+1/2,z+1/2'
'x+1/2,-y+1/2,z+1/2'
loop_
_atom_site_label
_atom_site_type_symbol
_atom_site_fract_x
_atom_site_fract_y
_atom_site_fract_z
K1 K 0.0000 0.0000 0.0000
K2 K 0.0000 0.5000 0.1798
Mg1 Mg 0.0000 0.5000 0.8241
P1 P 0.0000 0.0000 0.4408


Record 14
# KMg2P PBE-GGA optimized geometry
# ρ	1.5	g cm⁻³
# V	33.0	Å³/atom
# VASP energy	-2.540	eV per atom
# ΔE_f	-0.12	eV/atom
# total magnetization	0.000	μB per atom
data_KMg2P
_symmetry_space_group_name_H-M 'C 1 m 1'
_symmetry_Int_Tables_number 8
_cell_length_a 11.4668
_cell_length_b 3.8446
_cell_length_c 7.2921
_cell_angle_alpha 90.00
_cell_angle_beta 124.70
_cell_angle_gamma 90.00
loop_
_symmetry_equiv_pos_as_xyz
'x,y,z'
'x,-y,z'
'x+1/2,y+1/2,z'
'x+1/2,-y+1/2,z'
loop_
_atom_site_label
_atom_site_type_symbol
_atom_site_fract_x
_atom_site_fract_y
_atom_site_fract_z
K1 K 0.0000 0.0000 0.0000
Mg1 Mg 0.1266 0.5000 0.5245
Mg2 Mg 0.3747 0.5000 0.4275
P1 P 0.2831 0.0000 0.5491